A relaxed Na2CoH4Se2O10 crystal. Source: the Alexandria database, functional PBE with a Hubbard U.

The structure in POSCAR format:
```
Na2CoH4Se2O10
1.0
-2.904 -5.175 1.397
1.480 1.336 -6.160
6.351 -1.597 2.764
Na Co O Se H
2 1 10 2 4
Direct
0.652 0.337 0.853
0.348 0.663 0.147
0.000 0.000 0.000
0.427 0.323 0.129
0.573 0.677 0.871
0.897 0.244 0.094
0.103 0.756 0.906
0.492 0.237 0.487
0.508 0.763 0.513
0.991 0.916 0.277
0.009 0.084 0.723
0.745 0.156 0.238
0.255 0.844 0.762
0.658 0.392 0.339
0.342 0.608 0.661
0.816 0.970 0.637
0.184 0.030 0.363
0.910 0.008 0.324
0.090 0.992 0.676
```

Properties
DFT total energy	-0.1844	Ha/atom
D(E_F)	0.0	states/eV/f.u.
total magnetic moment	2.98	μB/cell
SG	P-1, No. 2
theoretical density	3.13	Mg/m³